Compound: Ba4CdCl
Source: the Alexandria database
Functional: GGA-PBE
Structure: relaxed

ρ	3.765	g/cm3
uncorrected formation energy	0.067	eV/atom
D(E_F)	9.731	states/eV/f.u.

a = 7.5759 Å, b = 7.5759 Å, c = 7.5759 Å
α = 60.00°, β = 60.00°, γ = 60.00°
With the nearest neighbours (Å) after each atom.
Positions (direct):
Ba (0.1247, 0.1247, 0.1247)  6 Ba 3.78-3.80
Ba (0.1247, 0.1247, 0.6260)  6 Ba 3.78-3.80
Ba (0.1247, 0.6260, 0.1247)  6 Ba 3.78-3.80
Ba (0.6260, 0.1247, 0.1247)  6 Ba 3.78-3.80
Cd (0.7500, 0.7500, 0.7500)  12 Ba 4.44, 4 Cl 4.64
Cl (0.5000, 0.5000, 0.5000)  12 Ba 4.44, 4 Cd 4.64